# 1
# LiLaSc2Ga4

Crystalline LiLaSc2Ga4 at its relaxed geometry (GGA-PBE, Alexandria via LeMat-Bulk).

Cell: 4.6205 4.6205 9.5417 Å, 75.99 75.99 60.00°
Closest atoms and distances in Å follow each position.
Fractional positions:
Li 0.5000 0.5000 0.5000  8 Ga 2.78-2.89
Ga 0.6013 0.6013 0.1961  1 Li 2.78, 3 Sc 2.87
La 0.0000 0.0000 0.0000  8 Ga 3.22-3.47
Ga 0.8736 0.8736 0.3793  4 Sc 2.74-2.84, 3 Li 2.89
Ga 0.3987 0.3987 0.8039  1 Li 2.78, 3 Sc 2.87
Sc 0.7702 0.7702 0.6894  7 Ga 2.74-2.87
Ga 0.1264 0.1264 0.6207  4 Sc 2.74-2.84, 3 Li 2.89
Sc 0.2298 0.2298 0.3106  7 Ga 2.74-2.87

Values from the calculation:
Calculated volume in Å³/cell: 169.4
Formation energy from the elements in kJ/mol of formula units: -370

***

# 2
# LiLaGaSi2

Crystalline LiLaGaSi2 at its relaxed geometry (GGA-PBE, Alexandria via LeMat-Bulk).

Cell: 4.2006 4.2006 6.1980 Å, 109.81 109.81 90.00°
Closest atoms and distances in Å follow each position.
Fractional positions:
Si 0.6102 0.6102 0.2205  1 Si 2.40, 2 Li 2.59, 2 Ga 2.59
La 0.0000 0.0000 0.0000  8 Si 3.20, 4 Li 3.44, 4 Ga 3.44
Si 0.3898 0.3898 0.7795  1 Si 2.40, 2 Li 2.59, 2 Ga 2.59
Li 0.7500 0.2500 0.5000  4 Si 2.59
Ga 0.2500 0.7500 0.5000  4 Si 2.59

Values from the calculation:
Calculated volume in Å³/cell: 96.0
Formation energy from raw total energies in eV per atom: -0.51

***

# 3
# LiLaGa2Si

Crystalline LiLaGa2Si at its relaxed geometry (GGA-PBE, Alexandria via LeMat-Bulk).

Cell: 4.3375 4.1755 6.2032 Å, 109.67 110.46 90.00°
Closest atoms and distances in Å follow each position.
Fractional positions:
Ga 0.0580 0.0580 0.1160  1 Si 2.46, 2 Li 2.58, 2 Ga 2.60
Li 0.1976 0.6976 0.3952  2 Ga 2.58, 2 Si 2.61
La 0.4347 0.4347 0.8695  4 Si 3.21, 8 Ga 3.29-3.47, 4 Li 3.31-3.58
Ga 0.6905 0.1905 0.3810  2 Si 2.59, 2 Ga 2.60
Si 0.8313 0.8313 0.6626  3 Ga 2.46-2.59, 2 Li 2.61

Values from the calculation:
Calculated volume in Å³/cell: 98.2
Formation energy from raw total energies in eV per atom: -0.53

***

# 4
# LiLaSmGa

Crystalline LiLaSmGa at its relaxed geometry (GGA-PBE, Alexandria via LeMat-Bulk).

Cell: 5.2853 5.2853 5.2853 Å, 60.00 60.00 60.00°
Closest atoms and distances in Å follow each position.
Fractional positions:
Li 0.2500 0.2500 0.2500  4 La 3.24, 4 Sm 3.24
Sm 0.0000 0.0000 0.0000  4 Ga 3.24, 4 Li 3.24
Ga 0.7500 0.7500 0.7500  4 Sm 3.24, 4 La 3.24
La 0.5000 0.5000 0.5000  4 Li 3.24, 4 Ga 3.24

Values from the calculation:
Calculated volume in Å³/cell: 104.4
Formation energy from the elements in kJ/mol of formula units: -114

***

# 5
# SrLiLaGa

Crystalline SrLiLaGa at its relaxed geometry (GGA-PBE, Alexandria via LeMat-Bulk).

Cell: 5.4923 5.4923 5.4923 Å, 60.00 60.00 60.00°
Closest atoms and distances in Å follow each position.
Fractional positions:
Sr 0.5000 0.5000 0.5000  4 Ga 3.36, 4 Li 3.36
Ga 0.2500 0.2500 0.2500  4 La 3.36, 4 Sr 3.36
Li 0.7500 0.7500 0.7500  4 Sr 3.36, 4 La 3.36
La 0.0000 0.0000 0.0000  4 Li 3.36, 4 Ga 3.36

Values from the calculation:
Calculated volume in Å³/cell: 117.2
Formation energy from the elements in kJ/mol of formula units: -82

***

# 6
# SrLiLaGa2

Crystalline SrLiLaGa2 at its relaxed geometry (GGA-PBE, Alexandria via LeMat-Bulk).

Cell: 5.7313 5.1133 5.7313 Å, 90.00 90.00 90.00°
Closest atoms and distances in Å follow each position.
Fractional positions:
Ga 0.5000 0.0000 0.0000  2 Sr 2.87
Sr 0.0000 0.0000 0.0000  2 Li 2.56
La 0.5000 0.5000 0.5000  8 Ga 3.84, 4 Li 4.05
Li 0.0000 0.5000 0.0000  2 Sr 2.56
Ga 0.0000 0.0000 0.5000  2 Sr 2.87

Values from the calculation:
Calculated volume in Å³/cell: 168.0
Formation energy from the elements in kJ/mol of formula units: 217

***

# 7
# Li2La2TbGa2

Crystalline Li2La2TbGa2 at its relaxed geometry (GGA-PBE, Alexandria via LeMat-Bulk).

Cell: 4.6627 4.6627 9.1702 Å, 75.27 75.27 60.00°
Closest atoms and distances in Å follow each position.
Fractional positions:
Ga 0.2675 0.2675 0.1975  3 Li 2.70
Tb 0.0000 0.0000 0.0000  6 Li 3.12, 6 Ga 3.20
Li 0.3934 0.3934 0.8197  3 Ga 2.70
Li 0.6066 0.6066 0.1803  3 Ga 2.70
Ga 0.7325 0.7325 0.8025  3 Li 2.70
La 0.8669 0.8669 0.3994  3 La 3.22, 4 Ga 3.22-3.53, 3 Li 3.31, 1 Tb 3.50
La 0.1331 0.1331 0.6006  3 La 3.22, 4 Ga 3.22-3.53, 3 Li 3.31, 1 Tb 3.50

Values from the calculation:
Calculated volume in Å³/cell: 165.1
Formation energy from the elements in kJ/mol of formula units: -213

***

# 8
# Li2LaTb2Ga2

Crystalline Li2LaTb2Ga2 at its relaxed geometry (GGA-PBE, Alexandria via LeMat-Bulk).

Cell: 4.7004 4.7004 9.2991 Å, 75.36 75.36 60.00°
Closest atoms and distances in Å follow each position.
Fractional positions:
Li 0.5928 0.5928 0.2217  3 Ga 2.72
La 0.0000 0.0000 0.0000  6 Li 3.35, 6 Ga 3.42, 2 Tb 3.42
Tb 0.1282 0.1282 0.6154  3 Ga 3.03, 3 Li 3.08
Li 0.4072 0.4072 0.7783  3 Ga 2.72
Ga 0.7444 0.7444 0.7667  3 Li 2.72, 3 Tb 3.03
Tb 0.8718 0.8718 0.3846  3 Ga 3.03, 3 Li 3.08
Ga 0.2556 0.2556 0.2333  3 Li 2.72, 3 Tb 3.03

Values from the calculation:
Calculated volume in Å³/cell: 170.2
Formation energy from the elements in kJ/mol of formula units: -200

***

# 9
# LiLaTbGa

Crystalline LiLaTbGa at its relaxed geometry (GGA-PBE, Alexandria via LeMat-Bulk).

Cell: 5.2478 5.2478 5.2478 Å, 60.00 60.00 60.00°
Closest atoms and distances in Å follow each position.
Fractional positions:
La 0.5000 0.5000 0.5000  4 Ga 3.21, 4 Li 3.21
Ga 0.2500 0.2500 0.2500  4 Tb 3.21, 4 La 3.21
Tb 0.0000 0.0000 0.0000  4 Li 3.21, 4 Ga 3.21
Li 0.7500 0.7500 0.7500  4 La 3.21, 4 Tb 3.21

Values from the calculation:
Calculated volume in Å³/cell: 102.2
Formation energy from the elements in kJ/mol of formula units: -114

***

# 10
# LiLaThGa

Crystalline LiLaThGa at its relaxed geometry (GGA-PBE, Alexandria via LeMat-Bulk).

Cell: 5.2720 5.2720 5.2720 Å, 60.00 60.00 60.00°
Closest atoms and distances in Å follow each position.
Fractional positions:
Li 0.7500 0.7500 0.7500  4 Th 3.23, 4 La 3.23
Th 0.5000 0.5000 0.5000  4 Ga 3.23, 4 Li 3.23
La 0.0000 0.0000 0.0000  4 Li 3.23, 4 Ga 3.23
Ga 0.2500 0.2500 0.2500  4 La 3.23, 4 Th 3.23

Values from the calculation:
Calculated volume in Å³/cell: 103.6
Formation energy from the elements in kJ/mol of formula units: -71

***

# 11
# Li2LaTm2Ga2

Crystalline Li2LaTm2Ga2 at its relaxed geometry (GGA-PBE, Alexandria via LeMat-Bulk).

Cell: 4.6797 4.6797 9.1755 Å, 75.23 75.23 60.00°
Closest atoms and distances in Å follow each position.
Fractional positions:
Ga 0.7466 0.7466 0.7602  3 Li 2.70, 3 Tm 3.00
Li 0.4120 0.4120 0.7640  3 Ga 2.70, 3 Tm 3.01
Tm 0.8705 0.8705 0.3885  4 Ga 3.00-3.26, 3 Li 3.01, 3 Tm 3.34
Li 0.5880 0.5880 0.2360  3 Ga 2.70, 3 Tm 3.01
La 0.0000 0.0000 0.0000  6 Li 3.40, 2 Tm 3.41, 6 Ga 3.42
Tm 0.1295 0.1295 0.6115  4 Ga 3.00-3.26, 3 Li 3.01, 3 Tm 3.34
Ga 0.2534 0.2534 0.2398  3 Li 2.70, 3 Tm 3.00

Values from the calculation:
Calculated volume in Å³/cell: 166.3
Formation energy from the elements in kJ/mol of formula units: -197

***

# 12
# LiLaYGa

Crystalline LiLaYGa at its relaxed geometry (GGA-PBE, Alexandria via LeMat-Bulk).

Cell: 5.2484 5.2484 5.2484 Å, 60.00 60.00 60.00°
Closest atoms and distances in Å follow each position.
Fractional positions:
Li 0.5000 0.5000 0.5000  4 La 3.21, 4 Y 3.21
La 0.2500 0.2500 0.2500  4 Ga 3.21, 4 Li 3.21
Ga 0.0000 0.0000 0.0000  4 Y 3.21, 4 La 3.21
Y 0.7500 0.7500 0.7500  4 Li 3.21, 4 Ga 3.21

Values from the calculation:
Calculated volume in Å³/cell: 102.2
Formation energy from the elements in kJ/mol of formula units: -120

***

# 13
# Li2La2YGa2

Crystalline Li2La2YGa2 at its relaxed geometry (GGA-PBE, Alexandria via LeMat-Bulk).

Cell: 4.6492 4.6492 9.1723 Å, 75.32 75.32 60.00°
Closest atoms and distances in Å follow each position.
Fractional positions:
Ga 0.7325 0.7325 0.8024  3 Li 2.69
Ga 0.2675 0.2675 0.1976  3 Li 2.69
Li 0.6058 0.6058 0.1825  3 Ga 2.69
La 0.8659 0.8659 0.4023  3 La 3.18, 4 Ga 3.23-3.51, 3 Li 3.30, 1 Y 3.53
Y 0.0000 0.0000 0.0000  6 Li 3.13, 6 Ga 3.20
La 0.1341 0.1341 0.5977  3 La 3.18, 4 Ga 3.23-3.51, 3 Li 3.30, 1 Y 3.53
Li 0.3942 0.3942 0.8175  3 Ga 2.69

Values from the calculation:
Calculated volume in Å³/cell: 164.2
Formation energy from the elements in kJ/mol of formula units: -219

***

| no. | density of states at the Fermi level (states/eV/cell) |
| --- | --- |
| 1 | 5.6 |
| 2 | 1.8 |
| 3 | 2.2 |
| 4 | 4.1 |
| 5 | 3.7 |
| 6 | 6.5 |
| 7 | 5.0 |
| 8 | 4.8 |
| 9 | 3.7 |
| 10 | 3.4 |
| 11 | 5.0 |
| 12 | 3.6 |
| 13 | 4.6 |